# 1
The following is a PBE calculation of SrAlZnHg after structural relaxation, from Alexandria via LeMat-Bulk.

As for the density: 6.68 g/cm³.

It has space group F-43m (No. 216), with a = 7.233 Å, b = 7.233 Å, c = 7.233 Å, α = 90.00°, β = 90.00° and γ = 90.00°. The asymmetric unit holds Sr at (0.000, 0.000, 0.000), Al at (0.000, 0.000, 0.500), Zn at (0.250, 0.250, 0.250) and Hg at (0.250, 0.250, 0.750).

---

# 2
The following is a PBE calculation of Ta2TiSe4S2 after structural relaxation, from Alexandria via LeMat-Bulk.

As for the density: 6.06 g/cm³. The calculation puts the uncorrected formation energy at -917 meV per atom.

It has space group P3m1 (No. 156), with a = 3.4362 Å, b = 3.4362 Å, c = 21.1656 Å, α = 90.00°, β = 90.00° and γ = 120.00°. The asymmetric unit holds Ta at (0.0000, 0.0000, 0.0000), Ta at (0.3333, 0.6667, 0.3356), Ti at (0.3333, 0.6667, 0.6817), Se at (0.0000, 0.0000, 0.2556), Se at (0.0000, 0.0000, 0.4154), Se at (0.3333, 0.6667, 0.0801), Se at (0.3333, 0.6667, 0.9203), S at (0.0000, 0.0000, 0.6115) and S at (0.0000, 0.0000, 0.7520).

---

# 3
The following is a PBE calculation of Cu2NiRu after structural relaxation, from Alexandria via LeMat-Bulk.

Its energy above the most stable polymorph in this dataset is 0 meV per atom. As for the density: 9.71 g/cm³.

It has space group P4mm (No. 99), with a = 2.601 Å, b = 2.601 Å, c = 7.251 Å, α = 90.00°, β = 90.00° and γ = 90.00°. The asymmetric unit holds Cu at (0.000, 0.000, 0.000), Cu at (0.500, 0.500, 0.245), Ni at (0.000, 0.000, 0.488) and Ru at (0.500, 0.500, 0.730).

---

# 4
The following is a PBE calculation of ZrOsPt2 after structural relaxation, from Alexandria via LeMat-Bulk.

As for the density: 16.84 g/cm³.

It has space group Cm (No. 8), with a = 9.471 Å, b = 2.844 Å, c = 4.987 Å, α = 90.00°, β = 99.52° and γ = 90.00°. The asymmetric unit holds Zr at (0.000, 0.000, 0.000), Os at (0.249, 0.000, 0.713), Pt at (0.008, 0.500, 0.512) and Pt at (0.252, 0.500, 0.248).

---

# 5
The following is a PBE calculation of Th6TlOs3 after structural relaxation, from Alexandria via LeMat-Bulk.

As for the density: 12.23 g/cm³.

It has space group P2_1/m (No. 11), with a = 11.924 Å, b = 4.199 Å, c = 12.249 Å, α = 90.00°, β = 106.28° and γ = 90.00°. The asymmetric unit holds Th at (0.018, 0.250, 0.386), Th at (0.113, 0.250, 0.954), Th at (0.200, 0.750, 0.258), Th at (0.291, 0.750, 0.765), Th at (0.343, 0.250, 0.536), Th at (0.416, 0.750, 0.083), Tl at (0.444, 0.250, 0.309), Os at (0.036, 0.250, 0.163), Os at (0.174, 0.750, 0.494) and Os at (0.345, 0.250, 0.918).

---

# 6
The following is a PBE calculation of ZrTa2Pt after structural relaxation, from Alexandria via LeMat-Bulk.

As for the density: 14.19 g/cm³.

It has space group R3m (No. 160, hexagonal axes), with a = 3.0887 Å, b = 3.0887 Å, c = 27.5524 Å, α = 90.00°, β = 90.00° and γ = 120.00°. The asymmetric unit holds Zr at (0.0000, 0.0000, 0.0000), Ta at (0.0000, 0.0000, 0.2446), Ta at (0.0000, 0.0000, 0.4943) and Pt at (0.0000, 0.0000, 0.7513).

---

# 7
The following is a PBE calculation of SrTi3Pb after structural relaxation, from Alexandria via LeMat-Bulk.

Its energy above the most stable polymorph in this dataset is 763 meV per atom. As for the density: 6.21 g/cm³.

It has space group Pm-3m (No. 221), with a = 4.894 Å, b = 4.894 Å, c = 4.894 Å, α = 90.00°, β = 90.00° and γ = 90.00°. The asymmetric unit holds Sr at (0.000, 0.000, 0.000), Ti at (0.000, 0.000, 0.500) and Pb at (0.500, 0.500, 0.500).

---

# 8
The following is a PBE calculation of ZrReMo14 after structural relaxation, from Alexandria via LeMat-Bulk.

As for the density: 10.47 g/cm³.

It has space group Cmmm (No. 65), with a = 6.355 Å, b = 8.993 Å, c = 8.992 Å, α = 90.00°, β = 90.00° and γ = 90.00°. The asymmetric unit holds Zr at (0.000, 0.000, 0.000), Re at (0.000, 0.500, 0.000), Mo at (0.000, 0.000, 0.500), Mo at (0.000, 0.251, 0.251), Mo at (0.000, 0.500, 0.500), Mo at (0.247, 0.500, 0.255), Mo at (0.250, 0.250, 0.000) and Mo at (0.250, 0.250, 0.500).

---

| no. | raw total energy (eV/atom) |
| --- | --- |
| 1 | -1.9165 |
| 2 | -6.8940 |
| 3 | -5.6946 |
| 4 | -8.3247 |
| 5 | -8.3038 |
| 6 | -9.7000 |
| 7 | -4.0934 |
| 8 | -10.8077 |